1.
! EuDyMgPd | Alexandria via LeMat-Bulk | PBE-GGA | optimized geometry; values from VASP
! electronic total energy = -22.939 eV per cell
&SYSTEM
  ibrav = 0, nat = 4, ntyp = 4
/
ATOMIC_SPECIES
Eu 151.96 Eu.upf
Mg 24.30 Mg.upf
Pd 106.42 Pd.upf
Dy 162.50 Dy.upf
CELL_PARAMETERS angstrom
-1.026 -3.815 -3.421
3.573 -3.695 -0.942
-0.783 -4.883 1.689
ATOMIC_POSITIONS angstrom
Eu 0.441 -3.098 -0.668
Mg 0.000 0.000 0.000
Pd 0.882 -6.197 -1.337
Dy 1.323 -9.295 -2.005

2.
! CdReSe2 | Alexandria via LeMat-Bulk | PBE-GGA | optimized geometry; values from VASP
! formation energy (no corrections) = 0.460 eV/atom
! distance to the lowest polymorph of the same formula = 451 meV per atom
&SYSTEM
  ibrav = 0, nat = 4, ntyp = 3
/
ATOMIC_SPECIES
Cd 112.41 Cd.upf
Re 186.21 Re.upf
Se 78.96 Se.upf
CELL_PARAMETERS angstrom
-1.612 1.744 -1.836
-0.319 -2.975 -0.240
-7.639 0.260 6.951
ATOMIC_POSITIONS angstrom
Cd -3.985 0.136 3.626
Re -6.744 -0.419 4.220
Se -7.189 0.245 6.542
Se -3.109 -0.543 0.913

3.
! TiIrRh4 | Alexandria via LeMat-Bulk | PBE-GGA | optimized geometry; values from VASP
! distance to the lowest polymorph of the same formula = 0 meV per atom
&SYSTEM
  ibrav = 0, nat = 6, ntyp = 3
/
ATOMIC_SPECIES
Ti 47.87 Ti.upf
Ir 192.22 Ir.upf
Rh 102.91 Rh.upf
CELL_PARAMETERS angstrom
3.647 0.000 -1.237
0.000 3.852 0.000
0.040 0.000 6.114
ATOMIC_POSITIONS angstrom
Ti 0.000 0.000 0.000
Ir 1.824 1.926 -0.618
Rh 0.618 1.926 1.821
Rh 2.434 3.852 1.182
Rh 1.253 0.000 3.694
Rh 3.070 1.926 3.056

4.
! BaAl2Ag | Alexandria via LeMat-Bulk | PBE-GGA | optimized geometry; values from VASP
! electronic total energy = -11.059 eV per cell
&SYSTEM
  ibrav = 0, nat = 4, ntyp = 3
/
ATOMIC_SPECIES
Ag 107.87 Ag.upf
Al 26.98 Al.upf
Ba 137.33 Ba.upf
CELL_PARAMETERS angstrom
-1.622 -0.120 -6.136
5.990 -0.763 1.959
0.383 -3.145 -0.610
ATOMIC_POSITIONS angstrom
Ag 3.186 -1.954 0.675
Al 2.184 -0.442 -2.089
Al 0.000 0.000 0.000
Ba -0.619 -1.633 -3.373

5.
! BeTcSb2Te | Alexandria via LeMat-Bulk | PBE-GGA | optimized geometry; values from VASP
! formation energy (no corrections) = 1.004 eV/atom
! distance to the lowest polymorph of the same formula = 54 meV per atom
&SYSTEM
  ibrav = 0, nat = 5, ntyp = 4
/
ATOMIC_SPECIES
Te 127.60 Te.upf
Sb 121.76 Sb.upf
Be 9.01 Be.upf
Tc 98.00 Tc.upf
CELL_PARAMETERS angstrom
-2.571 3.999 -0.398
-2.787 -2.114 -3.244
-3.063 -1.604 3.676
ATOMIC_POSITIONS angstrom
Te -1.531 -0.802 1.838
Sb -1.286 2.000 -0.199
Be 0.000 0.000 0.000
Sb -1.393 -1.057 -1.622
Tc -4.210 0.141 0.017

6.
! SrTi3Co | Alexandria via LeMat-Bulk | PBE-GGA | optimized geometry; values from VASP
! distance to the lowest polymorph of the same formula = 1904 meV per atom
&SYSTEM
  ibrav = 0, nat = 5, ntyp = 3
/
ATOMIC_SPECIES
Sr 87.62 Sr.upf
Ti 47.87 Ti.upf
Co 58.93 Co.upf
CELL_PARAMETERS angstrom
-3.886 2.343 0.978
0.545 -0.977 4.505
2.480 3.887 0.543
ATOMIC_POSITIONS angstrom
Sr 0.000 0.000 0.000
Ti 0.273 -0.489 2.253
Ti 1.240 1.943 0.271
Ti -1.943 1.172 0.489
Co -0.431 2.626 3.013

What did we get for Fermi-level density of states? Answer: 1.855 0.797 1.138 0.413 1.034 1.945 states/eV/atom, in the order shown.
What did we get for total moment? Answer: 1.749 0.000 0.000 0.000 0.515 0.200 μB per atom, in the order shown.